Entry from OQMD via LeMat-Bulk: a relaxed CoPdNO crystal (GGA+U). Values from VASP.

Values from the calculation:
- Spin magnetization: 1.670 μB per formula unit
- Final energy: -90.591 eV per cell

Quantum ESPRESSO input file:
```
&SYSTEM
  ibrav = 0, nat = 16, ntyp = 4
/
ATOMIC_SPECIES
Co 58.93 Co.upf
Pd 106.42 Pd.upf
N 14.01 N.upf
O 16.00 O.upf
CELL_PARAMETERS angstrom
5.7300 0.0000 0.0000
0.0000 6.1338 0.0000
0.0000 0.0000 5.1060
ATOMIC_POSITIONS crystal
Co 0.0912 0.1353 0.0000
Co 0.4088 0.1353 0.5000
Co 0.5912 0.8647 0.0000
Co 0.9088 0.8647 0.5000
Pd 0.1444 0.6996 0.0670
Pd 0.3556 0.6996 0.5670
Pd 0.6444 0.3004 0.0670
Pd 0.8556 0.3004 0.5670
N 0.1116 0.0902 0.6331
N 0.3884 0.0902 0.1331
N 0.6116 0.9098 0.6331
N 0.8884 0.9098 0.1331
O 0.0085 0.6078 0.6649
O 0.4915 0.6078 0.1649
O 0.5085 0.3922 0.6649
O 0.9915 0.3922 0.1649
```